[1]
VASP calculation (GGA-PBEsol) on a relaxed Y2AgB2 crystal.

CIF file:
```
data_Y2AgB2
_space_group_name_H-M_alt 'I 4/m m m'
_space_group_IT_number 139
_space_group_name_Hall '-I 4 2'
_cell_length_a 5.3354
_cell_length_b 5.3354
_cell_length_c 5.9830
_cell_angle_alpha 90.00
_cell_angle_beta 90.00
_cell_angle_gamma 90.00
loop_
_atom_site_label
_atom_site_type_symbol
_atom_site_fract_x
_atom_site_fract_y
_atom_site_fract_z
Y1 Y 0.0000 0.5000 0.2500
Ag1 Ag 0.0000 0.0000 0.0000
B1 B 0.0000 0.0000 0.3669
```

Energy relative to the elements   50 meV per atom
Density   5.99 Mg/m³

[2]
VASP calculation (GGA-PBEsol) on a relaxed NiRhAu2 crystal.

CIF file:
```
data_NiRhAu2
_space_group_name_H-M_alt 'F -4 3 m'
_space_group_IT_number 216
_space_group_name_Hall 'F -4 2 3'
_cell_length_a 6.1773
_cell_length_b 6.1773
_cell_length_c 6.1773
_cell_angle_alpha 90.00
_cell_angle_beta 90.00
_cell_angle_gamma 90.00
loop_
_atom_site_label
_atom_site_type_symbol
_atom_site_fract_x
_atom_site_fract_y
_atom_site_fract_z
Ni1 Ni 0.0000 0.0000 0.0000
Rh1 Rh 0.2500 0.2500 0.2500
Au1 Au 0.0000 0.0000 0.5000
Au2 Au 0.2500 0.2500 0.7500
```

Energy relative to the elements   262 meV per atom
Density   15.65 Mg/m³
Excess energy over the best structure of this formula in the dataset   16.6 kJ/mol of atoms

[3]
VASP calculation (GGA-PBEsol) on a relaxed InHg3 crystal.

CIF file:
```
data_InHg3
_space_group_name_H-M_alt 'P 4/m m m'
_space_group_IT_number 123
_space_group_name_Hall '-P 4 2'
_cell_length_a 3.6804
_cell_length_b 3.6804
_cell_length_c 7.0679
_cell_angle_alpha 90.00
_cell_angle_beta 90.00
_cell_angle_gamma 90.00
loop_
_atom_site_label
_atom_site_type_symbol
_atom_site_fract_x
_atom_site_fract_y
_atom_site_fract_z
In1 In 0.0000 0.0000 0.0000
Hg1 Hg 0.0000 0.0000 0.5000
Hg2 Hg 0.5000 0.5000 0.2540
```

Energy relative to the elements   -12 meV per atom
Density   12.43 Mg/m³

[4]
VASP calculation (GGA-PBEsol) on a relaxed BaCa2HfZn crystal.

CIF file:
```
data_BaCa2HfZn
_space_group_name_H-M_alt 'P 4/m m m'
_space_group_IT_number 123
_space_group_name_Hall '-P 4 2'
_cell_length_a 5.5950
_cell_length_b 5.5950
_cell_length_c 5.8750
_cell_angle_alpha 90.00
_cell_angle_beta 90.00
_cell_angle_gamma 90.00
loop_
_atom_site_label
_atom_site_type_symbol
_atom_site_fract_x
_atom_site_fract_y
_atom_site_fract_z
Ba1 Ba 0.0000 0.0000 0.0000
Ca1 Ca 0.0000 0.5000 0.5000
Hf1 Hf 0.5000 0.5000 0.0000
Zn1 Zn 0.0000 0.0000 0.5000
```

Energy relative to the elements   727 meV per atom
Density   4.17 Mg/m³

[5]
VASP calculation (GGA-PBEsol) on a relaxed Ti2GeI crystal.

CIF file:
```
data_Ti2GeI
_space_group_name_H-M_alt 'F m -3 m'
_space_group_IT_number 225
_space_group_name_Hall '-F 4 2 3'
_cell_length_a 6.5686
_cell_length_b 6.5686
_cell_length_c 6.5686
_cell_angle_alpha 90.00
_cell_angle_beta 90.00
_cell_angle_gamma 90.00
loop_
_atom_site_label
_atom_site_type_symbol
_atom_site_fract_x
_atom_site_fract_y
_atom_site_fract_z
Ti1 Ti 0.2500 0.2500 0.2500
Ge1 Ge 0.0000 0.0000 0.0000
I1 I 0.0000 0.0000 0.5000
```

Density   6.92 Mg/m³
E_form (uncorrected)   -104 meV per atom

[6]
VASP calculation (GGA-PBEsol) on a relaxed Fe3AsRu crystal.

CIF file:
```
data_Fe3AsRu
_space_group_name_H-M_alt 'P m -3 m'
_space_group_IT_number 221
_space_group_name_Hall '-P 4 2 3'
_cell_length_a 4.4389
_cell_length_b 4.4389
_cell_length_c 4.4389
_cell_angle_alpha 90.00
_cell_angle_beta 90.00
_cell_angle_gamma 90.00
loop_
_atom_site_label
_atom_site_type_symbol
_atom_site_fract_x
_atom_site_fract_y
_atom_site_fract_z
Fe1 Fe 0.0000 0.0000 0.5000
As1 As 0.5000 0.5000 0.5000
Ru1 Ru 0.0000 0.0000 0.0000
```

Energy relative to the elements   1513 meV per atom
Density   6.52 Mg/m³

[7]
VASP calculation (GGA-PBEsol) on a relaxed TaTlOs2 crystal.

CIF file:
```
data_TaTlOs2
_space_group_name_H-M_alt 'I m m 2'
_space_group_IT_number 44
_space_group_name_Hall 'I 2 -2'
_cell_length_a 3.8588
_cell_length_b 3.8821
_cell_length_c 8.6863
_cell_angle_alpha 90.00
_cell_angle_beta 90.00
_cell_angle_gamma 90.00
loop_
_atom_site_label
_atom_site_type_symbol
_atom_site_fract_x
_atom_site_fract_y
_atom_site_fract_z
Ta1 Ta 0.0000 0.0000 0.0000
Tl1 Tl 0.0000 0.5000 0.7502
Os1 Os 0.0000 0.0000 0.5002
Os2 Os 0.0000 0.5000 0.2510
```

Energy relative to the elements   497 meV per atom
Density   19.55 Mg/m³
Excess energy over the best structure of this formula in the dataset   5.9 kJ/mol of atoms

[8]
VASP calculation (GGA-PBEsol) on a relaxed CdInOs2 crystal.

CIF file:
```
data_CdInOs2
_space_group_name_H-M_alt 'I 4/m m m'
_space_group_IT_number 139
_space_group_name_Hall '-I 4 2'
_cell_length_a 3.9982
_cell_length_b 3.9982
_cell_length_c 8.2430
_cell_angle_alpha 90.00
_cell_angle_beta 90.00
_cell_angle_gamma 90.00
loop_
_atom_site_label
_atom_site_type_symbol
_atom_site_fract_x
_atom_site_fract_y
_atom_site_fract_z
Cd1 Cd 0.0000 0.0000 0.0000
In1 In 0.0000 0.0000 0.5000
Os1 Os 0.0000 0.5000 0.2500
```

Energy relative to the elements   779 meV per atom
Density   15.32 Mg/m³

[9]
VASP calculation (GGA-PBEsol) on a relaxed BiRh3Br crystal.

CIF file:
```
data_BiRh3Br
_space_group_name_H-M_alt 'P m -3 m'
_space_group_IT_number 221
_space_group_name_Hall '-P 4 2 3'
_cell_length_a 4.9694
_cell_length_b 4.9694
_cell_length_c 4.9694
_cell_angle_alpha 90.00
_cell_angle_beta 90.00
_cell_angle_gamma 90.00
loop_
_atom_site_label
_atom_site_type_symbol
_atom_site_fract_x
_atom_site_fract_y
_atom_site_fract_z
Bi1 Bi 0.0000 0.0000 0.0000
Rh1 Rh 0.0000 0.0000 0.5000
Br1 Br 0.5000 0.5000 0.5000
```

Density   8.09 Mg/m³
E_form (uncorrected)   1478 meV per atom

[10]
VASP calculation (GGA-PBEsol) on a relaxed Tl2ZnSe crystal.

CIF file:
```
data_Tl2ZnSe
_space_group_name_H-M_alt 'I m m m'
_space_group_IT_number 71
_space_group_name_Hall '-I 2 2'
_cell_length_a 5.2251
_cell_length_b 5.2493
_cell_length_c 7.3978
_cell_angle_alpha 90.00
_cell_angle_beta 90.00
_cell_angle_gamma 90.00
loop_
_atom_site_label
_atom_site_type_symbol
_atom_site_fract_x
_atom_site_fract_y
_atom_site_fract_z
Tl1 Tl 0.0000 0.0000 0.2505
Zn1 Zn 0.0000 0.5000 0.0000
Se1 Se 0.0000 0.5000 0.5000
```

Density   9.05 Mg/m³
E_form (uncorrected)   -7 meV per atom

[11]
VASP calculation (GGA-PBEsol) on a relaxed MnRe2 crystal.

CIF file:
```
data_MnRe2
_space_group_name_H-M_alt 'I 4/m c m'
_space_group_IT_number 140
_space_group_name_Hall '-I 4 2c'
_cell_length_a 5.9005
_cell_length_b 5.9005
_cell_length_c 4.5907
_cell_angle_alpha 90.00
_cell_angle_beta 90.00
_cell_angle_gamma 90.00
loop_
_atom_site_label
_atom_site_type_symbol
_atom_site_fract_x
_atom_site_fract_y
_atom_site_fract_z
Mn1 Mn 0.0000 0.0000 0.2500
Re1 Re 0.1522 0.3478 0.0000
```

Energy relative to the elements   -8 meV per atom
Density   17.76 Mg/m³

[12]
VASP calculation (GGA-PBEsol) on a relaxed TlCrPb2 crystal.

CIF file:
```
data_TlCrPb2
_space_group_name_H-M_alt 'P 4/m m m'
_space_group_IT_number 123
_space_group_name_Hall '-P 4 2'
_cell_length_a 4.7394
_cell_length_b 4.7394
_cell_length_c 4.4581
_cell_angle_alpha 90.00
_cell_angle_beta 90.00
_cell_angle_gamma 90.00
loop_
_atom_site_label
_atom_site_type_symbol
_atom_site_fract_x
_atom_site_fract_y
_atom_site_fract_z
Tl1 Tl 0.0000 0.0000 0.0000
Cr1 Cr 0.5000 0.5000 0.0000
Pb1 Pb 0.0000 0.5000 0.5000
```

Energy relative to the elements   466 meV per atom
Density   11.12 Mg/m³
Excess energy over the best structure of this formula in the dataset   5.1 kJ/mol of atoms

[13]
VASP calculation (GGA-PBEsol) on a relaxed Na3SiSe crystal.

CIF file:
```
data_Na3SiSe
_space_group_name_H-M_alt 'P m -3 m'
_space_group_IT_number 221
_space_group_name_Hall '-P 4 2 3'
_cell_length_a 5.4327
_cell_length_b 5.4327
_cell_length_c 5.4327
_cell_angle_alpha 90.00
_cell_angle_beta 90.00
_cell_angle_gamma 90.00
loop_
_atom_site_label
_atom_site_type_symbol
_atom_site_fract_x
_atom_site_fract_y
_atom_site_fract_z
Na1 Na 0.0000 0.0000 0.5000
Si1 Si 0.0000 0.0000 0.0000
Se1 Se 0.5000 0.5000 0.5000
```

Density   1.82 Mg/m³
E_form (uncorrected)   321 meV per atom

[14]
VASP calculation (GGA-PBEsol) on a relaxed PtCl3 crystal.

CIF file:
```
data_PtCl3
_space_group_name_H-M_alt 'R -3 m'
_space_group_IT_number 166
_space_group_name_Hall '-R 3 2"'
_cell_length_a 7.5091
_cell_length_b 7.5091
_cell_length_c 4.5622
_cell_angle_alpha 90.00
_cell_angle_beta 90.00
_cell_angle_gamma 120.00
loop_
_atom_site_label
_atom_site_type_symbol
_atom_site_fract_x
_atom_site_fract_y
_atom_site_fract_z
Pt1 Pt 0.0000 0.0000 0.0000
Cl1 Cl 0.0000 0.5000 0.0000
```

Density   6.74 Mg/m³
E_form (uncorrected)   594 meV per atom

[15]
VASP calculation (GGA-PBEsol) on a relaxed SrMn2CdPb crystal.

CIF file:
```
data_SrMn2CdPb
_space_group_name_H-M_alt 'P 4/m m m'
_space_group_IT_number 123
_space_group_name_Hall '-P 4 2'
_cell_length_a 5.0411
_cell_length_b 5.0411
_cell_length_c 5.7419
_cell_angle_alpha 90.00
_cell_angle_beta 90.00
_cell_angle_gamma 90.00
loop_
_atom_site_label
_atom_site_type_symbol
_atom_site_fract_x
_atom_site_fract_y
_atom_site_fract_z
Sr1 Sr 0.0000 0.0000 0.0000
Mn1 Mn 0.0000 0.5000 0.5000
Cd1 Cd 0.0000 0.0000 0.5000
Pb1 Pb 0.5000 0.5000 0.0000
```

Energy relative to the elements   867 meV per atom
Density   5.88 Mg/m³

[16]
VASP calculation (GGA-PBEsol) on a relaxed MgSc2Ag crystal.

CIF file:
```
data_MgSc2Ag
_space_group_name_H-M_alt 'I m m m'
_space_group_IT_number 71
_space_group_name_Hall '-I 2 2'
_cell_length_a 4.3849
_cell_length_b 4.3989
_cell_length_c 8.5553
_cell_angle_alpha 90.00
_cell_angle_beta 90.00
_cell_angle_gamma 90.00
loop_
_atom_site_label
_atom_site_type_symbol
_atom_site_fract_x
_atom_site_fract_y
_atom_site_fract_z
Mg1 Mg 0.0000 0.0000 0.0000
Sc1 Sc 0.0000 0.5000 0.2496
Ag1 Ag 0.0000 0.0000 0.5000
```

Energy relative to the elements   -94 meV per atom
Density   4.47 Mg/m³

[17]
VASP calculation (GGA-PBEsol) on a relaxed NiH20C8N10 crystal.

CIF file:
```
data_NiH20C8N10
_space_group_name_H-M_alt 'P 1 21/c 1'
_space_group_IT_number 14
_space_group_name_Hall '-P 2ybc'
_cell_length_a 6.4665
_cell_length_b 8.9070
_cell_length_c 10.9974
_cell_angle_alpha 90.00
_cell_angle_beta 98.99
_cell_angle_gamma 90.00
loop_
_atom_site_label
_atom_site_type_symbol
_atom_site_fract_x
_atom_site_fract_y
_atom_site_fract_z
Ni1 Ni 0.0000 0.0000 0.0000
H1 H 0.0188 0.1836 0.4207
H2 H 0.1035 0.0870 0.8028
H3 H 0.1401 0.5282 0.1255
H4 H 0.2887 0.1645 0.9614
H5 H 0.3385 0.5861 0.9531
H6 H 0.3561 0.6963 0.7080
H7 H 0.3683 0.7147 0.4642
H8 H 0.3864 0.5109 0.7701
H9 H 0.4192 0.0856 0.8106
H10 H 0.4507 0.1630 0.4414
C1 C 0.0367 0.1063 0.2465
C2 C 0.2576 0.2282 0.1300
C3 C 0.4549 0.6772 0.9664
C4 C 0.4716 0.6137 0.7529
N1 N 0.0160 0.5942 0.1378
N2 N 0.0348 0.5059 0.3381
N3 N 0.1710 0.2199 0.2334
N4 N 0.1982 0.1477 0.0287
N5 N 0.4166 0.1674 0.6304
```

Density   1.67 Mg/m³

[18]
VASP calculation (GGA-PBEsol) on a relaxed Li2Ti3NiO8 crystal.

CIF file:
```
data_Li2Ti3NiO8
_space_group_name_H-M_alt 'R -3 m'
_space_group_IT_number 166
_space_group_name_Hall '-R 3 2"'
_cell_length_a 5.9123
_cell_length_b 5.9123
_cell_length_c 14.2074
_cell_angle_alpha 90.00
_cell_angle_beta 90.00
_cell_angle_gamma 120.00
loop_
_atom_site_label
_atom_site_type_symbol
_atom_site_fract_x
_atom_site_fract_y
_atom_site_fract_z
Li1 Li 0.0000 0.0000 0.1212
Ti1 Ti 0.0000 0.5000 0.0000
Ni1 Ni 0.0000 0.0000 0.5000
O1 O 0.0000 0.0000 0.2600
O2 O 0.0279 0.5139 0.2588
```

Density   3.99 Mg/m³
Excess energy over the best structure of this formula in the dataset   0.0 kJ/mol of atoms
E_form (uncorrected)   -2531 meV per atom

[19]
VASP calculation (GGA-PBEsol) on a relaxed La2YTl crystal.

CIF file:
```
data_La2YTl
_space_group_name_H-M_alt 'P 4/m m m'
_space_group_IT_number 123
_space_group_name_Hall '-P 4 2'
_cell_length_a 3.6084
_cell_length_b 3.6084
_cell_length_c 9.6906
_cell_angle_alpha 90.00
_cell_angle_beta 90.00
_cell_angle_gamma 90.00
loop_
_atom_site_label
_atom_site_type_symbol
_atom_site_fract_x
_atom_site_fract_y
_atom_site_fract_z
La1 La 0.0000 0.0000 0.2302
Y1 Y 0.5000 0.5000 0.5000
Tl1 Tl 0.5000 0.5000 0.0000
```

Energy relative to the elements   -160 meV per atom
Density   7.52 Mg/m³
Excess energy over the best structure of this formula in the dataset   9.1 kJ/mol of atoms

[20]
VASP calculation (GGA-PBEsol) on a relaxed SrTa2Au crystal.

CIF file:
```
data_SrTa2Au
_space_group_name_H-M_alt 'I m m 2'
_space_group_IT_number 44
_space_group_name_Hall 'I 2 -2'
_cell_length_a 3.0362
_cell_length_b 5.4748
_cell_length_c 10.3004
_cell_angle_alpha 90.00
_cell_angle_beta 90.00
_cell_angle_gamma 90.00
loop_
_atom_site_label
_atom_site_type_symbol
_atom_site_fract_x
_atom_site_fract_y
_atom_site_fract_z
Sr1 Sr 0.0000 0.0000 0.0000
Ta1 Ta 0.0000 0.0000 0.4962
Ta2 Ta 0.0000 0.5000 0.2102
Au1 Au 0.0000 0.5000 0.7710
```

Energy relative to the elements   628 meV per atom
Density   12.54 Mg/m³
Excess energy over the best structure of this formula in the dataset   15.8 kJ/mol of atoms

no.,uncorrected energy (eV/f.u.)
1,-30.74
2,-21.10
3,-4.73
4,-14.86
5,-23.76
6,-34.60
7,-37.63
8,-25.49
9,-23.18
10,-10.72
11,-36.45
12,-19.01
13,-12.19
14,-10.61
15,-22.22
16,-18.61
17,-242.62
18,-112.48
19,-20.78
20,-28.35